[1]
First-principles (PBE) data for Tb2ErP3 after structural relaxation, as listed in Alexandria.

```
Tb2ErP3
1.0
-2.3446 -2.2039 -6.1513
6.4368 -1.6120 2.0401
-3.6229 -4.1894 4.1866
P Tb Er
6 4 2
Direct
0.0804 0.4137 0.2473
0.7512 0.7493 0.2477
0.4159 0.0845 0.2477
0.9155 0.5841 0.7523
0.5863 0.9196 0.7527
0.2507 0.2488 0.7523
0.8333 0.1667 0.5000
0.4996 0.5004 0.5000
0.1671 0.8329 0.5000
0.3333 0.6667 0.0000
0.6665 0.3335 0.0000
0.0002 0.9998 0.0000
```

Values from the calculation:
- Calculated formation energy: -1.6113 eV/atom
- SG: C2/m (12)


[2]
First-principles (PBE) data for BaZnBN2 after structural relaxation, as listed in Alexandria.

```
BaZnBN2
1.0
3.8550 0.0000 0.0000
0.0000 5.0346 0.0000
0.0000 0.0000 3.8550
Ba B Zn N
1 1 1 2
Direct
0.0000 0.5000 0.0000
0.0000 0.0000 0.0000
0.5000 0.5000 0.5000
0.0000 0.0000 0.5000
0.5000 0.0000 0.0000
```

Values from the calculation:
- Raw formation energy: 1.665 eV per atom
- SG: P4/mmm (123)
- Excess energy over the best structure of this formula in the dataset: 2.61 eV per formula unit


[3]
First-principles (PBE) data for HgTe2P after structural relaxation, as listed in Alexandria.

```
HgTe2P
1.0
-0.9781 -3.9861 0.6973
-0.4880 -1.3971 3.8912
-7.3405 -0.0108 1.1351
Te P Hg
2 1 1
Direct
0.7656 0.7656 0.2182
0.2344 0.2344 0.7818
0.5000 0.5000 0.0000
0.0000 0.0000 0.5000
```

Values from the calculation:
- Raw formation energy: 0.129 eV per atom
- SG: C2/m (12)
- Excess energy over the best structure of this formula in the dataset: 0.01 eV per formula unit


[4]
First-principles (PBE) data for Rb2CdWBr6 after structural relaxation, as listed in Alexandria.

```
Rb2CdWBr6
1.0
7.8729 0.0000 0.0000
0.0000 7.8729 0.0000
3.9364 3.9364 5.5844
Br Cd W Rb
6 1 1 2
Direct
0.2362 0.2362 0.0000
0.2362 0.7638 0.0000
0.7649 0.7649 0.4703
0.2351 0.2351 0.5297
0.7638 0.7638 0.0000
0.7638 0.2362 0.0000
0.5000 0.5000 0.0000
0.0000 0.0000 0.0000
0.2500 0.7500 0.5000
0.7500 0.2500 0.5000
```

Values from the calculation:
- Raw formation energy: -0.843 eV per atom
- SG: I4/mmm (139)


[5]
First-principles (PBE) data for Ho2Ga2Pt after structural relaxation, as listed in Alexandria.

```
Ho2Ga2Pt
1.0
-3.8036 -1.2396 1.5669
0.2385 -5.1982 2.3569
0.4932 2.7201 9.2392
Ga Ho Pt
4 4 2
Direct
0.1438 0.2635 0.4490
0.0274 0.8350 0.1101
0.8562 0.7365 0.5510
0.9726 0.1650 0.8899
0.3117 0.2576 0.1189
0.4934 0.6855 0.3277
0.5066 0.3145 0.6723
0.6883 0.7424 0.8811
0.7758 0.1137 0.3347
0.2242 0.8863 0.6653
```

Values from the calculation:
- Calculated formation energy: -0.9086 eV/atom
- SG: C2/m (12)


[6]
First-principles (PBE) data for GaGe2F after structural relaxation, as listed in Alexandria.

```
GaGe2F
1.0
0.0000 3.1817 3.1817
3.1817 0.0000 3.1817
3.1817 3.1817 0.0000
Ga Ge F
1 2 1
Direct
0.5000 0.5000 0.5000
0.7500 0.7500 0.7500
0.2500 0.2500 0.2500
0.0000 0.0000 0.0000
```

Values from the calculation:
- Raw formation energy: -0.390 eV per atom
- SG: Fm-3m (225)
- Excess energy over the best structure of this formula in the dataset: 0.00 eV per formula unit


[7]
First-principles (PBE) data for AlHgOs2 after structural relaxation, as listed in Alexandria.

```
AlHgOs2
1.0
-2.7071 3.5703 0.1803
-1.5123 1.8606 -3.7893
-4.3215 -0.4037 -1.1267
Al Os Hg
1 2 1
Direct
0.5000 0.5000 0.5000
0.0000 0.0000 0.0000
0.2500 0.2500 0.2500
0.7500 0.7500 0.7500
```

Values from the calculation:
- Calculated formation energy: 0.6650 eV/atom
- SG: F-43m (216)
- Excess energy over the best structure of this formula in the dataset: 1.86 eV per formula unit


[8]
First-principles (PBE) data for Rb2ReWCl6 after structural relaxation, as listed in Alexandria.

```
Rb2ReWCl6
1.0
-2.2578 3.6394 5.9634
-6.9752 -1.5262 -1.7095
-4.3736 -2.7776 4.5589
Cl Re W Rb
6 1 1 2
Direct
0.7514 0.7514 0.0000
0.2486 0.2486 0.0000
0.7514 0.2486 0.0000
0.2486 0.7514 0.0000
0.2488 0.2488 0.5023
0.7512 0.7512 0.4977
0.0000 0.0000 0.0000
0.5000 0.5000 0.0000
0.2500 0.7500 0.5000
0.7500 0.2500 0.5000
```

Values from the calculation:
- Raw formation energy: -0.511 eV per atom
- SG: I4/mmm (139)


[9]
First-principles (PBE) data for ScHg2P after structural relaxation, as listed in Alexandria.

```
ScHg2P
1.0
-5.2906 5.2175 3.2641
-3.1705 -5.9999 4.4516
-2.4980 0.1431 5.8120
Hg Sc P
4 2 2
Direct
0.3750 0.4172 0.7500
0.8750 0.8328 0.7500
0.5828 0.1250 0.2500
0.1672 0.6250 0.2500
0.7500 0.2500 0.5000
0.0000 0.0000 0.0000
0.2500 0.7500 0.5000
0.5000 0.5000 0.0000
```

Values from the calculation:
- Calculated formation energy: -0.2201 eV/atom
- SG: I-42d (122)


[10]
First-principles (PBE) data for La4TbNd2Sm after structural relaxation, as listed in Alexandria.

```
La4TbNd2Sm
1.0
-0.6803 4.9720 1.6139
-5.1582 -0.8249 0.3671
-3.9971 -3.8352 10.1309
Tb La Nd Sm
1 4 2 1
Direct
0.5000 0.5000 0.0000
0.0000 0.7503 0.7506
0.5000 0.2492 0.7512
0.5000 0.7508 0.2488
0.0000 0.2497 0.2494
0.5000 0.0000 0.5000
0.0000 0.0000 0.0000
0.0000 0.5000 0.5000
```

Values from the calculation:
- Calculated formation energy: 0.0144 eV/atom
- SG: P2/m (10)


[11]
First-principles (PBE) data for BeSnPd5 after structural relaxation, as listed in Alexandria.

```
BeSnPd5
1.0
5.4253 -0.0174 0.7051
1.7047 5.1506 0.7051
3.2795 2.3610 8.9632
Pd Sn Be
10 2 2
Direct
0.2644 0.4844 0.4873
0.1407 0.3763 0.2651
0.8593 0.6237 0.7349
0.9099 0.0901 0.7500
0.0901 0.9099 0.2500
0.3763 0.1407 0.7651
0.6237 0.8593 0.2349
0.4844 0.2644 0.9873
0.7356 0.5156 0.5127
0.5156 0.7356 0.0127
0.6755 0.3245 0.2500
0.3245 0.6755 0.7500
0.0000 0.0000 0.0000
0.0000 0.0000 0.5000
```

Values from the calculation:
- Calculated formation energy: -0.2181 eV/atom
- SG: C2/c (15)


[12]
First-principles (PBE) data for ZrSc2GaC after structural relaxation, as listed in Alexandria.

```
ZrSc2GaC
1.0
4.4568 0.0000 0.0000
0.0000 4.4568 0.0000
0.0000 0.0000 4.5466
C Zr Sc Ga
1 1 2 1
Direct
0.0000 0.0000 0.0000
0.0000 0.0000 0.5000
0.5000 0.0000 0.0000
0.0000 0.5000 0.0000
0.5000 0.5000 0.5000
```

Values from the calculation:
- Calculated formation energy: -0.6385 eV/atom
- SG: P4/mmm (123)


[13]
First-principles (PBE) data for Ag2SnCl4 after structural relaxation, as listed in Alexandria.

```
Ag2SnCl4
1.0
-6.1316 1.0731 1.8826
0.4123 -3.2767 -5.6023
2.8815 -3.5812 4.6005
Cl Ag Sn
4 2 1
Direct
0.8171 0.3276 0.1446
0.3276 0.1829 0.5105
0.1829 0.6724 0.8554
0.6724 0.8171 0.4895
0.2500 0.7500 0.5000
0.7500 0.2500 0.5000
0.5000 0.5000 0.0000
```

Values from the calculation:
- Raw formation energy: -0.580 eV per atom
- SG: I4/m (87)
- Excess energy over the best structure of this formula in the dataset: 0.44 eV per formula unit


[14]
First-principles (PBE) data for LaCuOs2 after structural relaxation, as listed in Alexandria.

```
LaCuOs2
1.0
2.9952 0.0000 0.0000
0.0000 4.8483 0.0000
0.0000 0.0000 4.8201
Os La Cu
2 1 1
Direct
0.5000 0.5000 0.0000
0.0000 0.0000 0.0000
0.0000 0.5000 0.5000
0.5000 0.0000 0.5000
```

Values from the calculation:
- Calculated formation energy: 0.5612 eV/atom
- SG: Pmmm (47)
- Excess energy over the best structure of this formula in the dataset: 1.22 eV per formula unit


[15]
First-principles (PBE) data for PmH8PtRh4 after structural relaxation, as listed in Alexandria.

```
PmH8PtRh4
1.0
5.6909 0.0000 0.0000
2.8454 4.9284 0.0000
2.8454 1.6428 4.6244
H Rh Pt Pm
8 4 1 1
Direct
0.2799 0.6880 0.3442
0.2193 0.8653 0.6961
0.7685 0.7685 0.6946
0.8653 0.2193 0.6961
0.6880 0.6880 0.3442
0.6880 0.2799 0.3442
0.2251 0.2251 0.3246
0.2193 0.2193 0.6961
0.5146 0.0060 0.4735
0.0060 0.5146 0.4735
0.0060 0.0060 0.4735
0.6342 0.6342 0.0973
0.0011 0.0011 0.9968
0.3848 0.3848 0.8455
```

Values from the calculation:
- SG: R3m (160)


[16]
First-principles (PBE) data for CeTh2Zr after structural relaxation, as listed in Alexandria.

```
CeTh2Zr
1.0
-0.7218 3.1645 -1.1488
-3.1932 0.7700 -1.0321
-3.8897 4.4846 9.6376
Th Ce Zr
2 1 1
Direct
0.2516 0.2516 0.2452
0.0818 0.0818 0.7547
0.4991 0.4991 0.5027
0.6675 0.6675 0.9974
```

Values from the calculation:
- Calculated formation energy: 0.0920 eV/atom
- SG: R3m (160)
- Excess energy over the best structure of this formula in the dataset: 0.18 eV per formula unit


[17]
First-principles (PBE) data for AlTlNiP2 after structural relaxation, as listed in Alexandria.

```
AlTlNiP2
1.0
5.1265 0.0000 0.0000
0.0000 4.8229 0.0000
0.0000 0.0000 5.1265
Tl P Ni Al
1 2 1 1
Direct
0.0000 0.0000 0.0000
0.5000 0.0000 0.0000
0.0000 0.0000 0.5000
0.0000 0.5000 0.0000
0.5000 0.5000 0.5000
```

Values from the calculation:
- Calculated formation energy: 1.4194 eV/atom
- SG: P4/mmm (123)


[18]
First-principles (PBE) data for AlVHg3 after structural relaxation, as listed in Alexandria.

```
AlVHg3
1.0
5.3164 0.0000 0.0000
0.0000 5.3164 0.0000
0.0000 0.0000 5.3164
Hg Al V
3 1 1
Direct
0.0000 0.5000 0.0000
0.0000 0.0000 0.5000
0.5000 0.0000 0.0000
0.5000 0.5000 0.5000
0.0000 0.0000 0.0000
```

Values from the calculation:
- Calculated formation energy: 0.7260 eV/atom
- SG: Pm-3m (221)
- Excess energy over the best structure of this formula in the dataset: 0.00 eV per formula unit


[19]
First-principles (PBE) data for Zn2BF8 after structural relaxation, as listed in Alexandria.

```
Zn2BF8
1.0
4.8652 -0.7576 -0.6297
-0.7534 5.4611 0.7445
-0.7534 1.7303 5.2330
F Zn B
8 2 1
Direct
0.2462 0.3881 0.9503
0.7538 0.0497 0.6119
0.8028 0.0604 0.0604
0.2462 0.9503 0.3881
0.7588 0.5586 0.5586
0.1972 0.9396 0.9396
0.7538 0.6119 0.0497
0.2412 0.4414 0.4414
0.5186 0.3340 0.3340
0.4814 0.6660 0.6660
0.0000 0.0000 0.0000
```

Values from the calculation:
- Raw formation energy: -1.965 eV per atom
- SG: C2/m (12)


[20]
First-principles (PBE) data for Tc3TeMo after structural relaxation, as listed in Alexandria.

```
Tc3TeMo
1.0
-0.6914 -2.6082 3.8659
1.2150 -3.8739 -2.3963
4.5024 0.6449 1.2403
Te Tc Mo
1 3 1
Direct
0.5000 0.5000 0.5000
0.0000 0.0000 0.5000
0.0000 0.5000 0.0000
0.5000 0.0000 0.0000
0.0000 0.0000 0.0000
```

Values from the calculation:
- Raw formation energy: 1.616 eV per atom
- SG: Pm-3m (221)
- Excess energy over the best structure of this formula in the dataset: 0.00 eV per formula unit


no.,V (Å³ per cell),E (eV per atom)
1,273,-6.620
2,75,-3.640
3,106,-2.870
4,346,-3.427
5,213,-5.159
6,64,-3.924
7,64,-5.961
8,245,-4.353
9,176,-3.306
10,284,-4.810
11,233,-5.031
12,90,-7.331
13,211,-3.022
14,70,-7.310
15,130,-4.983
16,114,-7.238
17,127,-3.123
18,150,-2.027
19,128,-4.164
20,105,-7.398